[1]
Sm12HoTm6: relaxed, GGA-PBE.

a = 9.1562 Å, b = 9.1562 Å, c = 9.1562 Å
α = 106.52°, β = 106.52°, γ = 106.52°
With the nearest neighbours (Å) after each atom.
Fractional positions:
1 Tm 0.4572 0.0752 0.1888  9 Sm 3.35-3.72, 1 Tm 3.73
2 Tm 0.1888 0.4572 0.0752  9 Sm 3.35-3.72, 1 Tm 3.73
3 Ho 0.0000 0.0000 0.0000  6 Sm 3.47, 6 Tm 3.81
4 Tm 0.8112 0.5428 0.9248  9 Sm 3.35-3.72, 1 Tm 3.73
5 Sm 0.4826 0.1921 0.5803  4 Tm 3.35-3.72, 6 Sm 3.39-3.55
6 Tm 0.0752 0.1888 0.4572  9 Sm 3.35-3.72, 1 Tm 3.73
7 Sm 0.8637 0.1717 0.7228  5 Tm 3.38-3.61, 5 Sm 3.39-3.76, 1 Ho 3.47
8 Sm 0.1921 0.5803 0.4826  4 Tm 3.35-3.72, 6 Sm 3.39-3.55
9 Sm 0.4197 0.5174 0.8079  4 Tm 3.35-3.72, 6 Sm 3.39-3.55
10 Tm 0.9248 0.8112 0.5428  9 Sm 3.35-3.72, 1 Tm 3.73
11 Sm 0.5803 0.4826 0.1921  4 Tm 3.35-3.72, 6 Sm 3.39-3.55
12 Sm 0.2772 0.1363 0.8283  5 Tm 3.38-3.61, 5 Sm 3.39-3.76, 1 Ho 3.47
13 Sm 0.8283 0.2772 0.1363  5 Tm 3.38-3.61, 5 Sm 3.39-3.76, 1 Ho 3.47
14 Tm 0.5428 0.9248 0.8112  9 Sm 3.35-3.72, 1 Tm 3.73
15 Sm 0.1717 0.7228 0.8637  5 Tm 3.38-3.61, 5 Sm 3.39-3.76, 1 Ho 3.47
16 Sm 0.5174 0.8079 0.4197  4 Tm 3.35-3.72, 6 Sm 3.39-3.55
17 Sm 0.1363 0.8283 0.2772  5 Tm 3.38-3.61, 5 Sm 3.39-3.76, 1 Ho 3.47
18 Sm 0.7228 0.8637 0.1717  5 Tm 3.38-3.61, 5 Sm 3.39-3.76, 1 Ho 3.47
19 Sm 0.8079 0.4197 0.5174  4 Tm 3.35-3.72, 6 Sm 3.39-3.55

Computed properties:
V in Å³/atom: 34.08
Formation enthalpy at 0 K in meV/atom: 246
Energy relative to the lowest polymorph listed for this composition in eV/atom: 0.105
Raw total energy in eV/atom: -4.39

[2]
Sm4Ho3Tm8: relaxed, GGA-PBE.

a = 6.8868 Å, b = 6.8868 Å, c = 12.3412 Å
α = 73.80°, β = 73.80°, γ = 60.00°
With the nearest neighbours (Å) after each atom.
Fractional positions:
1 Ho 0.0000 0.5000 0.5000  6 Tm 3.38-3.50, 4 Ho 3.44, 2 Sm 3.44
2 Sm 0.3366 0.3366 0.9902  4 Tm 3.22-3.47
3 Tm 0.2500 0.2500 0.7472  6 Tm 3.42-3.46, 3 Sm 3.47-3.55, 2 Ho 3.50
4 Tm 0.2500 0.7528 0.7472  6 Tm 3.42-3.46, 3 Sm 3.47-3.55, 2 Ho 3.50
5 Ho 0.5000 0.0000 0.5000  6 Tm 3.38-3.50, 4 Ho 3.44, 2 Sm 3.44
6 Tm 0.7500 0.2472 0.2528  6 Tm 3.42-3.46, 3 Sm 3.47-3.55, 2 Ho 3.50
7 Tm 0.7500 0.7500 0.2528  6 Tm 3.42-3.46, 3 Sm 3.47-3.55, 2 Ho 3.50
8 Tm 0.2472 0.7500 0.2528  6 Tm 3.42-3.46, 3 Sm 3.47-3.55, 2 Ho 3.50
9 Tm 0.7553 0.7553 0.7341  1 Sm 3.22, 3 Ho 3.38, 6 Tm 3.45
10 Tm 0.7528 0.2500 0.7472  6 Tm 3.42-3.46, 3 Sm 3.47-3.55, 2 Ho 3.50
11 Sm 0.0000 0.0000 0.0000  6 Tm 3.55, 6 Sm 3.98
12 Sm 0.6634 0.6634 0.0098  4 Tm 3.22-3.47
13 Tm 0.2447 0.2447 0.2659  1 Sm 3.22, 3 Ho 3.38, 6 Tm 3.45
14 Sm 0.5000 0.5000 0.5000  6 Ho 3.44, 6 Tm 3.51
15 Ho 0.0000 0.0000 0.5000  6 Tm 3.38-3.50, 2 Sm 3.44, 4 Ho 3.44

Computed properties:
V in Å³/atom: 31.99
Formation enthalpy at 0 K in meV/atom: 128
Energy relative to the lowest polymorph listed for this composition in eV/atom: 0.000
Raw total energy in eV/atom: -4.43

[3]
SmHo8Tm6: relaxed, GGA-PBE.

a = 8.9317 Å, b = 8.9317 Å, c = 8.5350 Å
α = 58.45°, β = 58.45°, γ = 60.00°
With the nearest neighbours (Å) after each atom.
Fractional positions:
1 Ho 0.5766 0.5766 0.2703  4 Ho 3.12-3.38, 3 Tm 3.31
2 Tm 0.4615 0.8921 0.8795  3 Ho 3.31-3.37, 1 Sm 3.41, 4 Tm 3.43-3.69
3 Ho 0.7446 0.7197 0.4253  5 Ho 3.37-3.38, 3 Tm 3.37-3.73, 1 Sm 3.49
4 Tm 0.7670 0.4615 0.8795  3 Ho 3.31-3.37, 1 Sm 3.41, 4 Tm 3.43-3.69
5 Tm 0.5385 0.1079 0.1205  3 Ho 3.31-3.37, 1 Sm 3.41, 4 Tm 3.43-3.69
6 Tm 0.8921 0.7670 0.8795  3 Ho 3.31-3.37, 1 Sm 3.41, 4 Tm 3.43-3.69
7 Ho 0.2803 0.8896 0.5747  5 Ho 3.37-3.38, 3 Tm 3.37-3.73, 1 Sm 3.49
8 Tm 0.1079 0.2330 0.1205  3 Ho 3.31-3.37, 1 Sm 3.41, 4 Tm 3.43-3.69
9 Ho 0.4234 0.4234 0.7297  4 Ho 3.12-3.38, 3 Tm 3.31
10 Ho 0.8896 0.2554 0.5747  5 Ho 3.37-3.38, 3 Tm 3.37-3.73, 1 Sm 3.49
11 Ho 0.1104 0.7446 0.4253  5 Ho 3.37-3.38, 3 Tm 3.37-3.73, 1 Sm 3.49
12 Ho 0.7197 0.1104 0.4253  5 Ho 3.37-3.38, 3 Tm 3.37-3.73, 1 Sm 3.49
13 Ho 0.2554 0.2803 0.5747  5 Ho 3.37-3.38, 3 Tm 3.37-3.73, 1 Sm 3.49
14 Sm 0.0000 0.0000 0.0000  6 Tm 3.41, 6 Ho 3.49
15 Tm 0.2330 0.5385 0.1205  3 Ho 3.31-3.37, 1 Sm 3.41, 4 Tm 3.43-3.69

Computed properties:
V in Å³/atom: 31.32
Formation enthalpy at 0 K in meV/atom: 137
Energy relative to the lowest polymorph listed for this composition in eV/atom: 0.000
Raw total energy in eV/atom: -4.41

[4]
Sm4HoTm7: relaxed, GGA-PBE.

a = 5.8299 Å, b = 11.5458 Å, c = 6.6872 Å
α = 83.68°, β = 64.16°, γ = 75.38°
With the nearest neighbours (Å) after each atom.
Fractional positions:
1 Tm 0.7880 0.9241 0.4999  1 Ho 3.13, 4 Tm 3.13-3.37, 4 Sm 3.33-3.35
2 Tm 0.6321 0.5056 0.2302  4 Tm 3.25-3.58, 5 Sm 3.26-3.54
3 Tm 0.3679 0.4944 0.7698  4 Tm 3.25-3.58, 5 Sm 3.26-3.54
4 Sm 0.2232 0.3332 0.2204  4 Tm 3.26-3.49, 2 Sm 3.57
5 Tm 0.2120 0.0759 0.5001  1 Ho 3.13, 4 Tm 3.13-3.37, 4 Sm 3.33-3.35
6 Sm 0.7768 0.6668 0.7796  4 Tm 3.26-3.49, 2 Sm 3.57
7 Tm 0.9313 0.3110 0.8264  4 Tm 3.26-3.58, 1 Ho 3.63
8 Sm 0.3595 0.7769 0.5041  7 Tm 3.34-3.66, 2 Sm 3.57
9 Tm 0.0687 0.6890 0.1736  4 Tm 3.26-3.58, 1 Ho 3.63
10 Sm 0.6405 0.2231 0.4959  7 Tm 3.34-3.66, 2 Sm 3.57
11 Tm 0.5000 0.0000 0.0000  2 Ho 2.91, 2 Tm 3.13
12 Ho 0.0000 0.0000 0.0000  4 Tm 2.91-3.13

Computed properties:
V in Å³/atom: 32.67
Formation enthalpy at 0 K in meV/atom: 284
Energy relative to the lowest polymorph listed for this composition in eV/atom: 0.194
Raw total energy in eV/atom: -4.28

[5]
SmHo6Tm: relaxed, GGA-PBE.

a = 4.9971 Å, b = 4.9971 Å, c = 9.9862 Å
α = 90.00°, β = 90.00°, γ = 90.00°
With the nearest neighbours (Å) after each atom.
Fractional positions:
1 Ho 0.5000 0.0000 0.2477  8 Ho 3.52-3.55, 2 Tm 3.52, 2 Sm 3.55
2 Tm 0.0000 0.0000 0.0000  12 Ho 3.52-3.53
3 Ho 0.0000 0.5000 0.2477  8 Ho 3.52-3.55, 2 Tm 3.52, 2 Sm 3.55
4 Sm 0.0000 0.0000 0.5000  12 Ho 3.53-3.55
5 Ho 0.5000 0.5000 0.0000  8 Ho 3.52, 4 Tm 3.53
6 Ho 0.5000 0.0000 0.7523  8 Ho 3.52-3.55, 2 Tm 3.52, 2 Sm 3.55
7 Ho 0.0000 0.5000 0.7523  8 Ho 3.52-3.55, 2 Tm 3.52, 2 Sm 3.55
8 Ho 0.5000 0.5000 0.5000  4 Sm 3.53, 8 Ho 3.55

Computed properties:
V in Å³/atom: 31.17
Formation enthalpy at 0 K in meV/atom: 23
Energy relative to the lowest polymorph listed for this composition in eV/atom: 0.000
Raw total energy in eV/atom: -4.56

[6]
SmHo5Tm6: relaxed, GGA-PBE.

a = 6.0875 Å, b = 6.0825 Å, c = 11.6287 Å
α = 85.00°, β = 79.98°, γ = 59.97°
With the nearest neighbours (Å) after each atom.
Fractional positions:
1 Tm 0.4170 0.6663 0.7490  5 Ho 3.50-3.52, 6 Tm 3.51-3.52, 1 Sm 3.52
2 Tm 0.7495 0.0000 0.7492  5 Ho 3.50-3.52, 6 Tm 3.51-3.52, 1 Sm 3.52
3 Ho 0.6667 0.6666 0.0000  3 Sm 3.51, 3 Ho 3.51, 6 Tm 3.52
4 Ho 0.8332 0.3336 0.5000  6 Tm 3.50, 6 Ho 3.51
5 Tm 0.5830 0.3337 0.2510  5 Ho 3.50-3.52, 6 Tm 3.51-3.52, 1 Sm 3.52
6 Tm 0.0833 0.3337 0.7490  5 Ho 3.50-3.52, 6 Tm 3.51-3.52, 1 Sm 3.52
7 Sm 0.0000 0.0000 0.0000  6 Ho 3.51, 6 Tm 3.52
8 Ho 0.5000 0.0000 0.5000  6 Tm 3.50, 6 Ho 3.51
9 Tm 0.2505 0.0000 0.2508  5 Ho 3.50-3.52, 6 Tm 3.51-3.52, 1 Sm 3.52
10 Ho 0.3333 0.3334 0.0000  3 Sm 3.51, 3 Ho 3.51, 6 Tm 3.52
11 Ho 0.1668 0.6664 0.5000  6 Tm 3.50, 6 Ho 3.51
12 Tm 0.9167 0.6663 0.2510  5 Ho 3.50-3.52, 6 Tm 3.51-3.52, 1 Sm 3.52

Computed properties:
V in Å³/atom: 30.59
Formation enthalpy at 0 K in meV/atom: 23
Raw total energy in eV/atom: -4.51

[7]
SmHo3Tm4: relaxed, GGA-PBE.

a = 5.5719 Å, b = 3.5178 Å, c = 13.2911 Å
α = 89.96°, β = 102.10°, γ = 90.00°
With the nearest neighbours (Å) after each atom.
Fractional positions:
1 Tm 0.3953 0.4999 0.7906  1 Tm 3.09, 2 Sm 3.24
2 Ho 0.8430 0.9993 0.6861  2 Ho 3.52, 10 Tm 3.56-3.72
3 Ho 0.0000 0.5000 0.0000  4 Sm 3.29, 2 Ho 3.52
4 Tm 0.6047 0.5001 0.2094  1 Tm 3.09, 2 Sm 3.24
5 Tm 0.7235 0.5010 0.4471  3 Tm 3.09-3.11
6 Ho 0.1570 0.0007 0.3139  2 Ho 3.52, 10 Tm 3.56-3.72
7 Tm 0.2765 0.4990 0.5529  3 Tm 3.09-3.11
8 Sm 0.5000 0.0000 0.0000  4 Tm 3.24, 4 Ho 3.29, 2 Sm 3.52

Computed properties:
V in Å³/atom: 31.84
Formation enthalpy at 0 K in meV/atom: 224
Energy relative to the lowest polymorph listed for this composition in eV/atom: 0.221
Raw total energy in eV/atom: -4.32

[8]
Sm7Ho4Tm: relaxed, GGA-PBE.

a = 7.2169 Å, b = 6.2589 Å, c = 11.4558 Å
α = 79.54°, β = 50.98°, γ = 90.03°
With the nearest neighbours (Å) after each atom.
Fractional positions:
1 Ho 0.4161 0.7220 0.3326  8 Sm 3.54-3.62, 3 Ho 3.55-3.61, 1 Tm 3.56
2 Sm 0.5000 0.0000 0.0000  4 Ho 3.55-3.57, 6 Sm 3.56-3.61, 2 Tm 3.61
3 Ho 0.5839 0.2780 0.6674  8 Sm 3.54-3.62, 3 Ho 3.55-3.61, 1 Tm 3.56
4 Sm 0.9167 0.7209 0.3339  6 Ho 3.54-3.62, 5 Sm 3.55-3.62, 1 Tm 3.57
5 Ho 0.1650 0.2209 0.3351  4 Ho 3.53-3.61, 8 Sm 3.54-3.61
6 Sm 0.6654 0.2211 0.3346  6 Sm 3.54-3.62, 5 Ho 3.56-3.62, 1 Tm 3.57
7 Sm 0.7477 0.5011 0.0007  3 Ho 3.54-3.57, 7 Sm 3.57-3.63, 2 Tm 3.61-3.63
8 Sm 0.0833 0.2791 0.6661  6 Ho 3.54-3.62, 5 Sm 3.55-3.62, 1 Tm 3.57
9 Ho 0.8350 0.7791 0.6649  4 Ho 3.53-3.61, 8 Sm 3.54-3.61
10 Sm 0.2523 0.4989 0.9993  3 Ho 3.54-3.57, 7 Sm 3.57-3.63, 2 Tm 3.61-3.63
11 Sm 0.3346 0.7789 0.6654  6 Sm 3.54-3.62, 5 Ho 3.56-3.62, 1 Tm 3.57
12 Tm 0.0000 0.0000 0.0000  2 Ho 3.56, 10 Sm 3.57-3.63

Computed properties:
V in Å³/atom: 32.57
Formation enthalpy at 0 K in meV/atom: 4
Raw total energy in eV/atom: -4.65